Entry 1:
Compound: Cs2CeSb2S6
Source: the Alexandria database
Functional: GGA-PBE
Structure: optimized geometry

a = 7.0930 Å, b = 7.0930 Å, c = 8.8509 Å
α = 108.26°, β = 108.26°, γ = 63.91°
Element x y z (fractional)
1 Cs 0.1979 0.1979 0.1418
2 Cs 0.8021 0.8021 0.8582
3 Ce 0.0000 0.0000 0.5000
4 Sb 0.4189 0.4189 0.7863
5 Sb 0.5811 0.5811 0.2137
6 S 0.2109 0.7190 0.2496
7 S 0.2344 0.2344 0.5495
8 S 0.2810 0.7891 0.7504
9 S 0.7190 0.2109 0.2496
10 S 0.7656 0.7656 0.4505
11 S 0.7891 0.2810 0.7504

M_tot (μB/f.u.): 0.000
ΔE_f (raw) (eV/atom): -0.93
Uncorrected energy (eV per atom): -4.63
Space group: C2/m, No. 12
Crystal system: monoclinic

***

Entry 2:
Compound: Cs2CeSbS4
Source: the Alexandria database
Functional: GGA-PBE
Structure: optimized geometry

a = 7.9443 Å, b = 7.9443 Å, c = 9.7490 Å
α = 90.00°, β = 90.00°, γ = 90.00°
Element x y z (fractional)
1 Cs 0.0000 0.0000 0.0000
2 Cs 0.0000 0.5000 0.2500
3 Cs 0.5000 0.0000 0.7500
4 Cs 0.5000 0.5000 0.5000
5 Ce 0.0000 0.5000 0.7500
6 Ce 0.5000 0.0000 0.2500
7 Sb 0.0000 0.0000 0.5000
8 Sb 0.5000 0.5000 0.0000
9 S 0.1638 0.2539 0.6146
10 S 0.2461 0.6638 0.8854
11 S 0.2539 0.8362 0.3854
12 S 0.3362 0.2461 0.1146
13 S 0.6638 0.7539 0.1146
14 S 0.7461 0.1638 0.3854
15 S 0.7539 0.3362 0.8854
16 S 0.8362 0.7461 0.6146

M_tot (μB/f.u.): 1.039
ΔE_f (raw) (eV/atom): -1.05
Uncorrected energy (eV per atom): -4.58
Space group: I-4, No. 82
Crystal system: tetragonal
D(E_F) (states/eV per cell): 17.2

***

Which of these has the lowest M_tot? Cs2CeSb2S6

***

What did the second record say?
Compound: Cs2CeSbS4
Source: the Alexandria database
Functional: GGA-PBE
Structure: optimized geometry

a = 7.9443 Å, b = 7.9443 Å, c = 9.7490 Å
α = 90.00°, β = 90.00°, γ = 90.00°
Element x y z (fractional)
1 Cs 0.0000 0.0000 0.0000
2 Cs 0.0000 0.5000 0.2500
3 Cs 0.5000 0.0000 0.7500
4 Cs 0.5000 0.5000 0.5000
5 Ce 0.0000 0.5000 0.7500
6 Ce 0.5000 0.0000 0.2500
7 Sb 0.0000 0.0000 0.5000
8 Sb 0.5000 0.5000 0.0000
9 S 0.1638 0.2539 0.6146
10 S 0.2461 0.6638 0.8854
11 S 0.2539 0.8362 0.3854
12 S 0.3362 0.2461 0.1146
13 S 0.6638 0.7539 0.1146
14 S 0.7461 0.1638 0.3854
15 S 0.7539 0.3362 0.8854
16 S 0.8362 0.7461 0.6146

M_tot (μB/f.u.): 1.039
ΔE_f (raw) (eV/atom): -1.05
Uncorrected energy (eV per atom): -4.58
Space group: I-4, No. 82
Crystal system: tetragonal
D(E_F) (states/eV per cell): 17.2

***

What is the uncorrected energy in the first record? -4.63 eV per atom